HgSeBr2Cl: relaxed, GGA-PBE.

Properties
As for the relative energy among the computed polymorphs: 0.529 eV/f.u. For the density of states at the Fermi level, the calculation gives 3.6 states/eV per cell. The value obtained for the raw total energy is -1.286 eV per atom. For the uncorrected formation energy, the calculation gives 0.510 eV per atom.

Cell: 5.3400 5.3400 5.1097 Å, 90.00 90.00 90.00°
Closest atoms and distances in Å follow each position.
Space group P4/mmm (No. 123)
Unique sites:
Hg (0.0000, 0.0000, 0.0000)  8 Br 3.70, 4 Se 3.78
Se (0.5000, 0.5000, 0.0000)  2 Cl 2.55
Br (0.0000, 0.5000, 0.5000)  2 Cl 2.67
Cl (0.5000, 0.5000, 0.5000)  2 Se 2.55, 4 Br 2.67